A plane-wave DFT calculation with PBE was carried out for an optimized crystal structure of CsIr2.

Geometry as CIF:
```
data_CsIr2
_chemical_formula_sum 'Cs4 Ir8'
_space_group_name_H-M_alt 'P 63/m m c'
_space_group_IT_number 194
_space_group_name_Hall '-P 6c 2c'
_cell_length_a 5.9453
_cell_length_b 5.9453
_cell_length_c 8.6679
_cell_angle_alpha 90.00
_cell_angle_beta 90.00
_cell_angle_gamma 120.00
loop_
_atom_site_label
_atom_site_type_symbol
_atom_site_fract_x
_atom_site_fract_y
_atom_site_fract_z
Cs1 Cs 0.3333 0.6667 0.0542
Ir1 Ir 0.0000 0.0000 0.0000
Ir2 Ir 0.1523 0.3046 0.7500
```

offset from the most stable computed form: 0.00 eV/f.u.
magnetic moment: 0.0 μB per formula unit
calculated total energy: -5.20 eV per atom